Entry from Alexandria via LeMat-Bulk: TmUN after structural relaxation (PBE).

Cell: 3.4416 3.4416 12.2541 Å, 90.00 90.00 120.00°
Space group P-6m2 (No. 187)
Symmetry-distinct sites (fractional):
Tm: 0.0000 0.0000 0.2465 [2 per cell]
U: 0.3333 0.6667 0.0000 [1 per cell]
U: 0.3333 0.6667 0.5000 [1 per cell]
N: 0.3333 0.6667 0.3348 [2 per cell]

Summary:
The calculation puts the uncorrected energy at -8.6157 eV per atom.


Entry from Alexandria via LeMat-Bulk: MgAg4 after structural relaxation (PBE).

Cell: 5.247 5.247 7.981 Å, 90.00 90.00 90.00°
Space group I4/mmm (No. 139)
Symmetry-distinct sites (fractional):
Mg: 0.000 0.000 0.000 [2 per cell]
Ag: 0.000 0.000 0.334 [4 per cell]
Ag: 0.000 0.500 0.250 [4 per cell]

Summary:
The value obtained for the formation energy is 0.233 eV/atom.


Entry from Alexandria via LeMat-Bulk: LiZrSc2 after structural relaxation (PBE).

Cell: 11.516 3.367 4.989 Å, 90.00 115.63 90.00°
Space group Cm (No. 8)
Symmetry-distinct sites (fractional):
Li: 0.000 0.000 0.000 [2 per cell]
Zr: 0.227 0.500 0.226 [2 per cell]
Sc: 0.280 0.000 0.779 [2 per cell]
Sc: 0.499 0.000 0.499 [2 per cell]

Summary:
The energy above the most stable polymorph in this dataset comes out at 0.066 eV/atom. The value obtained for the formation energy is 0.117 eV/atom.


Entry from Alexandria via LeMat-Bulk: ScCoAs2 after structural relaxation (PBE).

Cell: 3.798 5.461 6.567 Å, 90.00 90.00 90.00°
Space group Immm (No. 71)
Symmetry-distinct sites (fractional):
Sc: 0.000 0.000 0.000 [2 per cell]
Co: 0.000 0.000 0.500 [2 per cell]
As: 0.000 0.500 0.209 [4 per cell]

Summary:
The value obtained for the formation energy is -0.467 eV/atom.


Entry from Alexandria via LeMat-Bulk: Li7Th3Pt4 after structural relaxation (PBE).

Cell: 15.805 4.039 10.430 Å, 90.00 124.75 90.00°
Space group C2/m (No. 12)
Symmetry-distinct sites (fractional):
Li: 0.000 0.000 0.000 [2 per cell]
Li: 0.023 0.500 0.809 [4 per cell]
Li: 0.170 0.000 0.933 [4 per cell]
Li: 0.171 0.500 0.497 [4 per cell]
Th: 0.000 0.000 0.500 [2 per cell]
Th: 0.204 0.500 0.238 [4 per cell]
Pt: 0.105 0.000 0.310 [4 per cell]
Pt: 0.155 0.500 0.736 [4 per cell]

Summary:
The value obtained for the formation energy is -0.629 eV/atom.


Entry from Alexandria via LeMat-Bulk: LiTaIr after structural relaxation (PBE).

Cell: 2.795 15.070 4.730 Å, 90.00 90.00 90.00°
Space group Cmcm (No. 63)
Symmetry-distinct sites (fractional):
Li: 0.000 0.000 0.000 [4 per cell]
Ta: 0.000 0.316 0.250 [4 per cell]
Ir: 0.000 0.152 0.250 [4 per cell]

Summary:
The energy above the most stable polymorph in this dataset comes out at 0.030 eV/atom. The value obtained for the formation energy is -0.203 eV/atom.


no.,total magnetization (μB/f.u.)
1,1.38
2,0.00
3,0.00
4,0.00
5,0.00
6,0.00